[1]
A relaxed structure of PmThPd2, computed with PBE-GGA.

- Space-group type: P4/mmm
- Energy above the most stable polymorph in this dataset: 0.094 eV/atom
- Electronic total energy: -6.3406 eV per atom

```
PmThPd2
1.0
-1.896 -0.146 -3.110
2.598 -2.080 -1.486
-3.395 -5.917 2.348
Pm Th Pd
1 1 2
Direct
0.500 0.500 0.000 Pm
0.500 0.500 0.500 Th
0.000 0.000 0.270 Pd
0.000 0.000 0.730 Pd
```


[2]
A relaxed structure of Pm2ThPd, computed with PBE-GGA.

- Space-group type: P4/mmm
- Energy above the most stable polymorph in this dataset: 0.000 eV/atom
- Electronic total energy: -5.8710 eV per atom

```
Pm2ThPd
1.0
-2.311 -0.350 -2.788
-2.351 -1.735 2.167
-3.566 7.372 2.032
Pd Th Pm
1 1 2
Direct
0.500 0.500 0.000 Pd
0.500 0.500 0.500 Th
0.000 0.000 0.208 Pm
0.000 0.000 0.792 Pm
```